Model one:
DFT (PBE with a Hubbard U) results for CoP2PdO after structural relaxation.

## Properties
Space-group type: P4/mmm, No. 123
Crystal system: tetragonal

a = 4.7625 Å, b = 4.7625 Å, c = 3.8142 Å
α = 90.00°, β = 90.00°, γ = 90.00°
Closest atoms and distances in Å follow each position.
Atoms (fractional coordinates):
P: 0.0000 0.5000 0.0000  2 Pd 2.38
P: 0.5000 0.0000 0.0000  2 Pd 2.38
Co: 0.5000 0.5000 0.5000  8 P 3.05, 4 O 3.37
O: 0.0000 0.0000 0.5000  2 Pd 1.91
Pd: 0.0000 0.0000 0.0000  2 O 1.91

Model two:
DFT (PBE with a Hubbard U) results for CoP2PdO after structural relaxation.

## Properties
Space-group type: P4/mmm, No. 123
Crystal system: tetragonal

a = 4.3036 Å, b = 3.6872 Å, c = 4.3036 Å
α = 90.00°, β = 90.00°, γ = 90.00°
Closest atoms and distances in Å follow each position.
Atoms (fractional coordinates):
P: 0.0000 0.0000 0.5000  2 O 2.15
P: 0.5000 0.0000 0.0000  2 O 2.15
Co: 0.0000 0.5000 0.0000  2 O 1.84
O: 0.0000 0.0000 0.0000  2 Co 1.84
Pd: 0.5000 0.5000 0.5000  8 P 2.83, 4 Co 3.04

Last place for stability: model one

Model one:
DFT (PBE with a Hubbard U) results for CoP2PtO after structural relaxation.

## Properties
Space-group type: P4/mmm, No. 123
Crystal system: tetragonal

a = 4.5438 Å, b = 4.5438 Å, c = 3.3476 Å
α = 90.00°, β = 90.00°, γ = 90.00°
Closest atoms and distances in Å follow each position.
Atoms (fractional coordinates):
P: 0.0000 0.5000 0.0000  2 Co 2.27
P: 0.5000 0.0000 0.0000  2 Co 2.27
Co: 0.0000 0.0000 0.0000  2 O 1.67
O: 0.0000 0.0000 0.5000  2 Co 1.67
Pt: 0.5000 0.5000 0.5000  8 P 2.82

Model two:
DFT (PBE with a Hubbard U) results for CoP2PtO after structural relaxation.

## Properties
Space-group type: P4/mmm, No. 123
Crystal system: tetragonal

a = 4.8399 Å, b = 4.8399 Å, c = 3.7678 Å
α = 90.00°, β = 90.00°, γ = 90.00°
Closest atoms and distances in Å follow each position.
Atoms (fractional coordinates):
P: 0.0000 0.5000 0.0000  2 Pt 2.42
P: 0.5000 0.0000 0.0000  2 Pt 2.42
Co: 0.5000 0.5000 0.5000  8 P 3.07, 4 O 3.42
O: 0.0000 0.0000 0.5000  2 Pt 1.88
Pt: 0.0000 0.0000 0.0000  2 O 1.88

Last place for stability: model two

Model one:
DFT (PBE with a Hubbard U) results for CoPPtO2 after structural relaxation.

## Properties
Space-group type: P4/mmm, No. 123
Crystal system: tetragonal

a = 3.4626 Å, b = 3.4626 Å, c = 6.7621 Å
α = 90.00°, β = 90.00°, γ = 90.00°
Closest atoms and distances in Å follow each position.
Atoms (fractional coordinates):
P: 0.0000 0.0000 0.5000  4 Pt 2.45
Co: 0.0000 0.0000 0.0000  4 O 1.73
O: 0.0000 0.5000 0.0000  2 Co 1.73
O: 0.5000 0.0000 0.0000  2 Co 1.73
Pt: 0.5000 0.5000 0.5000  4 P 2.45

Model two:
DFT (PBE with a Hubbard U) results for CoPPtO2 after structural relaxation.

## Properties
Space-group type: P4/mmm, No. 123
Crystal system: tetragonal

a = 3.8024 Å, b = 3.8024 Å, c = 5.2516 Å
α = 90.00°, β = 90.00°, γ = 90.00°
Closest atoms and distances in Å follow each position.
Atoms (fractional coordinates):
P: 0.0000 0.0000 0.5000  2 Pt 2.63, 4 Co 2.69
Co: 0.5000 0.5000 0.5000  4 P 2.69
O: 0.0000 0.5000 0.0000  2 Pt 1.90
O: 0.5000 0.0000 0.0000  2 Pt 1.90
Pt: 0.0000 0.0000 0.0000  4 O 1.90

Last place for stability: model two

Model one:
DFT (PBE with a Hubbard U) results for CoSbP2O after structural relaxation.

## Properties
Space-group type: P4/mmm, No. 123
Crystal system: tetragonal

a = 5.1190 Å, b = 5.1190 Å, c = 3.8583 Å
α = 90.00°, β = 90.00°, γ = 90.00°
Closest atoms and distances in Å follow each position.
Atoms (fractional coordinates):
Sb: 0.0000 0.0000 0.0000  2 O 1.93
Co: 0.5000 0.5000 0.5000  8 P 3.21
O: 0.0000 0.0000 0.5000  2 Sb 1.93
P: 0.0000 0.5000 0.0000  2 Sb 2.56
P: 0.5000 0.0000 0.0000  2 Sb 2.56

Model two:
DFT (PBE with a Hubbard U) results for CoSbP2O after structural relaxation.

## Properties
Space-group type: P4/mmm, No. 123
Crystal system: tetragonal

a = 4.7281 Å, b = 4.7281 Å, c = 3.5009 Å
α = 90.00°, β = 90.00°, γ = 90.00°
Closest atoms and distances in Å follow each position.
Atoms (fractional coordinates):
Sb: 0.5000 0.5000 0.5000  8 P 2.94
Co: 0.0000 0.0000 0.0000  2 O 1.75
O: 0.0000 0.0000 0.5000  2 Co 1.75
P: 0.0000 0.5000 0.0000  2 Co 2.36
P: 0.5000 0.0000 0.0000  2 Co 2.36

Last place for stability: model one